DFT (PBE with a Hubbard U) results for InGaFeO4 after structural relaxation.

- Calculated total energy: -85.097 eV/cell
- Space-group type: Imma (74)

The structure in CIF format:
```
data_InGaFeO4
_chemical_formula_sum 'In2 Ga2 Fe2 O8'
_cell_length_a 6.0895
_cell_length_b 6.1890
_cell_length_c 6.1890
_cell_angle_alpha 61.36
_cell_angle_beta 60.53
_cell_angle_gamma 60.53
_space_group_name_H-M_alt 'P 1'
_space_group_IT_number 1
_space_group_name_Hall 'P 1'
loop_
_atom_site_label
_atom_site_fract_x
_atom_site_fract_y
_atom_site_fract_z
Ga1 0.3690 0.3810 0.8810
O1 0.7489 0.2482 0.2539
O2 0.7479 0.7519 0.2519
O3 0.7489 0.7539 0.7482
O4 0.2511 0.2461 0.2518
Ga2 0.6310 0.6190 0.1190
O5 0.7517 0.2481 0.7481
O6 0.2483 0.7519 0.2519
O7 0.2521 0.2481 0.7481
Fe1 0.0000 0.0000 0.5000
Fe2 0.5000 0.0000 0.5000
In1 0.0000 0.5000 0.5000
O8 0.2511 0.7518 0.7461
In2 0.0000 0.0000 0.0000
```